[1]
An optimized crystal structure of LiTbTc. Source: OQMD via LeMat-Bulk, functional PBE.

Structure (CIF):
```
data_LiTbTc
_chemical_formula_sum 'Li4 Tb4 Tc4'
_space_group_name_H-M_alt 'F -4 3 m'
_space_group_IT_number 216
_space_group_name_Hall 'F -4 2 3'
_cell_length_a 6.1772
_cell_length_b 6.1772
_cell_length_c 6.1772
_cell_angle_alpha 90.00
_cell_angle_beta 90.00
_cell_angle_gamma 90.00
loop_
_atom_site_label
_atom_site_type_symbol
_atom_site_fract_x
_atom_site_fract_y
_atom_site_fract_z
Li1 Li 0.0000 0.0000 0.0000
Tb1 Tb 0.2500 0.2500 0.7500
Tc1 Tc 0.2500 0.2500 0.2500
```

Output
crystal system	cubic
density	7436	kg/m3
raw total energy	-4.88	eV/atom

[2]
An optimized crystal structure of LiTbTlTe3. Source: OQMD via LeMat-Bulk, functional PBE.

Structure (CIF):
```
data_LiTbTlTe3
_chemical_formula_sum 'Li4 Tb4 Tl4 Te12'
_space_group_name_H-M_alt 'C m c m'
_space_group_IT_number 63
_space_group_name_Hall '-C 2c 2'
_cell_length_a 4.3087
_cell_length_b 14.9778
_cell_length_c 11.6776
_cell_angle_alpha 90.00
_cell_angle_beta 90.00
_cell_angle_gamma 90.00
loop_
_atom_site_label
_atom_site_type_symbol
_atom_site_fract_x
_atom_site_fract_y
_atom_site_fract_z
Li1 Li 0.0000 0.0404 0.2500
Tb1 Tb 0.0000 0.5000 0.0000
Tl1 Tl 0.0000 0.2503 0.7500
Te1 Te 0.0000 0.1405 0.0534
Te2 Te 0.0000 0.4269 0.2500
```

Output
crystal system	orthorhombic
density	6637	kg/m3
raw total energy	-3.90	eV/atom

[3]
An optimized crystal structure of LiTbYTe3. Source: OQMD via LeMat-Bulk, functional PBE.

Structure (CIF):
```
data_LiTbYTe3
_chemical_formula_sum 'Li4 Tb4 Y4 Te12'
_space_group_name_H-M_alt 'P n m a'
_space_group_IT_number 62
_space_group_name_Hall '-P 2ac 2n'
_cell_length_a 11.1282
_cell_length_b 4.2294
_cell_length_c 14.3166
_cell_angle_alpha 90.00
_cell_angle_beta 90.00
_cell_angle_gamma 90.00
loop_
_atom_site_label
_atom_site_type_symbol
_atom_site_fract_x
_atom_site_fract_y
_atom_site_fract_z
Li1 Li 0.2269 0.2500 0.2343
Tb1 Tb 0.2186 0.7500 0.0165
Y1 Y 0.0248 0.2500 0.7451
Te1 Te 0.0418 0.2500 0.1053
Te2 Te 0.1002 0.7500 0.6013
Te3 Te 0.2299 0.7500 0.3538
```

Output
crystal system	orthorhombic
density	6285	kg/m3
raw total energy	-4.98	eV/atom

[4]
An optimized crystal structure of LiTbYTe3. Source: OQMD via LeMat-Bulk, functional PBE.

Structure (CIF):
```
data_LiTbYTe3
_chemical_formula_sum 'Li4 Tb4 Y4 Te12'
_space_group_name_H-M_alt 'C m c m'
_space_group_IT_number 63
_space_group_name_Hall '-C 2c 2'
_cell_length_a 4.2421
_cell_length_b 14.2616
_cell_length_c 11.1138
_cell_angle_alpha 90.00
_cell_angle_beta 90.00
_cell_angle_gamma 90.00
loop_
_atom_site_label
_atom_site_type_symbol
_atom_site_fract_x
_atom_site_fract_y
_atom_site_fract_z
Li1 Li 0.0000 0.0165 0.2500
Tb1 Tb 0.0000 0.2720 0.7500
Y1 Y 0.0000 0.5000 0.0000
Te1 Te 0.0000 0.1469 0.0695
Te2 Te 0.0000 0.3952 0.2500
```

Output
crystal system	orthorhombic
density	6298	kg/m3
raw total energy	-4.97	eV/atom

[5]
An optimized crystal structure of LiTbTh. Source: OQMD via LeMat-Bulk, functional PBE.

Structure (CIF):
```
data_LiTbTh
_chemical_formula_sum 'Li4 Tb4 Th4'
_space_group_name_H-M_alt 'F -4 3 m'
_space_group_IT_number 216
_space_group_name_Hall 'F -4 2 3'
_cell_length_a 7.0526
_cell_length_b 7.0526
_cell_length_c 7.0526
_cell_angle_alpha 90.00
_cell_angle_beta 90.00
_cell_angle_gamma 90.00
loop_
_atom_site_label
_atom_site_type_symbol
_atom_site_fract_x
_atom_site_fract_y
_atom_site_fract_z
Li1 Li 0.0000 0.0000 0.0000
Tb1 Tb 0.2500 0.2500 0.7500
Th1 Th 0.2500 0.2500 0.2500
```

Output
crystal system	cubic
density	7534	kg/m3
raw total energy	-4.04	eV/atom

[6]
An optimized crystal structure of LiTbTm. Source: OQMD via LeMat-Bulk, functional PBE.

Structure (CIF):
```
data_LiTbTm
_chemical_formula_sum 'Li4 Tb4 Tm4'
_space_group_name_H-M_alt 'F -4 3 m'
_space_group_IT_number 216
_space_group_name_Hall 'F -4 2 3'
_cell_length_a 7.0878
_cell_length_b 7.0878
_cell_length_c 7.0878
_cell_angle_alpha 90.00
_cell_angle_beta 90.00
_cell_angle_gamma 90.00
loop_
_atom_site_label
_atom_site_type_symbol
_atom_site_fract_x
_atom_site_fract_y
_atom_site_fract_z
Li1 Li 0.0000 0.0000 0.0000
Tb1 Tb 0.2500 0.2500 0.7500
Tm1 Tm 0.2500 0.2500 0.2500
```

Output
crystal system	cubic
density	6245	kg/m3
raw total energy	-3.15	eV/atom